A relaxed structure of Cs2BaMo3F12. Source: the Alexandria database, functional PBE with a Hubbard U.

## Properties
VASP energy, eV/atom: -5.345
Density of states at the Fermi level, states/eV per cell: 1.07

The structure in POSCAR format:
```
Cs2BaMo3F12
1.0
7.9583 0.1096 0.0778
4.0256 6.8660 0.0778
4.0256 2.3432 6.4543
Cs Ba Mo F
2 1 3 12
Cartesian
9.8983 5.7617 4.0867
6.1111 3.5572 2.5231
0.0000 0.0000 0.0000
3.9792 0.0548 0.0389
2.0128 3.4330 0.0389
2.0128 1.1716 3.2271
6.9096 4.0220 5.6004
12.2472 7.1289 2.8014
10.3966 8.1799 5.8020
9.1646 2.7413 1.9444
12.2472 5.0007 5.8020
6.9096 6.6152 1.9444
9.0998 5.2968 1.0093
3.7622 2.1899 3.8083
5.6128 1.1389 0.8078
6.8449 6.5775 4.6654
3.7622 4.3182 0.8078
9.0998 2.7036 4.6654
```